No. 1
A relaxed CrTcTe crystal, computed with PBE.

The uncorrected formation energy is 0.48 eV per formula unit. The calculation puts the total energy at -22.6 eV/f.u. The value obtained for the total moment is 0.12 μB/f.u. For the distance to the lowest polymorph of the same formula, the calculation gives 172 meV per atom.

a = 8.6460 Å, b = 3.1100 Å, c = 9.3259 Å
α = 90.00°, β = 97.23°, γ = 90.00°
Closest atoms and distances in Å follow each position.
Space group Cm (No. 8)
One atom of each set of equivalent atoms:
Cr  0.0000  0.0000  0.0000 [2 per cell]  2 Tc 2.44, 3 Cr 2.59-2.64, 2 Te 2.74
Cr  0.2280  0.5000  0.1008 [2 per cell]  5 Tc 2.50-2.62, 3 Cr 2.59-2.64, 2 Te 2.76
Tc  0.1904  0.0000  0.3036 [2 per cell]  2 Cr 2.50, 3 Tc 2.61-2.68
Tc  0.4532  0.0000  0.1922 [2 per cell]  5 Cr 2.44-2.62, 3 Tc 2.61-2.68, 1 Te 2.69
Te  0.2662  0.0000  0.8631 [2 per cell]  5 Cr 2.74-2.77
Te  0.4807  0.0000  0.4822 [2 per cell]  2 Tc 2.69-2.83


No. 2
A relaxed ZnCu6Au crystal, computed with PBE.

The calculation puts the total energy at -29.4 eV/f.u. The value obtained for the total moment is 0.00 μB/f.u.

a = 5.3043 Å, b = 5.3043 Å, c = 4.2900 Å
α = 90.00°, β = 90.00°, γ = 120.00°
Closest atoms and distances in Å follow each position.
Space group P-6m2 (No. 187)
One atom of each set of equivalent atoms:
Zn  0.0000  0.0000  0.0000 [1 per cell]  12 Cu 2.64-2.65
Cu  0.0134  0.5067  0.0000 [3 per cell]  8 Cu 2.55-2.76, 2 Zn 2.65, 2 Au 2.67
Cu  0.1680  0.3360  0.5000 [3 per cell]  8 Cu 2.61-2.67, 2 Zn 2.64, 2 Au 2.65
Au  0.6667  0.3333  0.5000 [1 per cell]  12 Cu 2.65-2.67


No. 3
A relaxed DyInCoAg crystal, computed with PBE.

The calculation puts the total energy at -17.8 eV/f.u. The value obtained for the total moment is 1.14 μB/f.u.

a = 6.7690 Å, b = 6.7690 Å, c = 6.7690 Å
α = 90.00°, β = 90.00°, γ = 90.00°
Closest atoms and distances in Å follow each position.
Space group F-43m (No. 216)
One atom of each set of equivalent atoms:
Dy  0.0000  0.0000  0.0000 [4 per cell]  4 Ag 2.93, 4 Co 2.93
In  0.0000  0.0000  0.5000 [4 per cell]  4 Co 2.93, 4 Ag 2.93
Co  0.2500  0.2500  0.2500 [4 per cell]  4 In 2.93, 4 Dy 2.93
Ag  0.2500  0.2500  0.7500 [4 per cell]  4 In 2.93, 4 Dy 2.93


No. 4
A relaxed PmUPa2P4 crystal, computed with PBE.

The calculation puts the total energy at -66.9 eV/f.u. The value obtained for the total moment is 1.97 μB/f.u.

a = 5.6438 Å, b = 5.6438 Å, c = 11.2980 Å
α = 90.00°, β = 90.00°, γ = 90.00°
Closest atoms and distances in Å follow each position.
Space group I-4m2 (No. 119)
One atom of each set of equivalent atoms:
Pm  0.0000  0.0000  0.0000 [2 per cell]  6 P 2.82-2.87
U  0.0000  0.5000  0.7500 [2 per cell]  6 P 2.81-2.82
Pa  0.0000  0.0000  0.5000 [2 per cell]  6 P 2.78-2.82
Pa  0.0000  0.5000  0.2500 [2 per cell]  6 P 2.82-2.83
P  0.0000  0.0000  0.2537 [4 per cell]  3 Pa 2.78-2.82, 2 U 2.82, 1 Pm 2.87
P  0.0000  0.5000  0.5008 [4 per cell]  1 U 2.81, 2 Pm 2.82, 3 Pa 2.82-2.83


No. 5
A relaxed AcCuSi2Ir crystal, computed with PBE.

The uncorrected formation energy is -3.19 eV per formula unit. The calculation puts the total energy at -31.1 eV/f.u. The value obtained for the total moment is 0.00 μB/f.u.

a = 4.2416 Å, b = 4.2416 Å, c = 10.3627 Å
α = 90.00°, β = 90.00°, γ = 90.00°
Closest atoms and distances in Å follow each position.
Space group I-4m2 (No. 119)
One atom of each set of equivalent atoms:
Ac  0.0000  0.0000  0.0000 [2 per cell]  8 Si 3.29, 4 Cu 3.35, 4 Ir 3.35
Cu  0.0000  0.5000  0.7500 [2 per cell]  4 Si 2.46
Si  0.0000  0.0000  0.3697 [4 per cell]  2 Ir 2.46, 2 Cu 2.46, 1 Si 2.70
Ir  0.0000  0.5000  0.2500 [2 per cell]  4 Si 2.46


No. 6
A relaxed Ga3PbN crystal, computed with PBE.

The uncorrected formation energy is 2.05 eV per formula unit. The calculation puts the total energy at -19.1 eV/f.u. The value obtained for the total moment is 0.00 μB/f.u. For the distance to the lowest polymorph of the same formula, the calculation gives 0 meV per atom.

a = 4.4999 Å, b = 4.4999 Å, c = 4.4999 Å
α = 90.00°, β = 90.00°, γ = 90.00°
Closest atoms and distances in Å follow each position.
Space group Pm-3m (No. 221)
One atom of each set of equivalent atoms:
Ga  0.0000  0.0000  0.5000 [3 per cell]  2 N 2.25
Pb  0.5000  0.5000  0.5000 [1 per cell]  12 Ga 3.18
N  0.0000  0.0000  0.0000 [1 per cell]  6 Ga 2.25


No. 7
A relaxed FeAsIr2 crystal, computed with PBE.

The calculation puts the total energy at -30.4 eV/f.u. The value obtained for the total moment is 3.56 μB/f.u.

a = 2.8992 Å, b = 3.5101 Å, c = 5.6805 Å
α = 90.00°, β = 90.00°, γ = 90.00°
Closest atoms and distances in Å follow each position.
Space group Pmmm (No. 47)
One atom of each set of equivalent atoms:
Fe  0.0000  0.0000  0.0000 [1 per cell]  8 Ir 2.65, 2 As 2.84, 2 Fe 2.90
As  0.0000  0.0000  0.5000 [1 per cell]  8 Ir 2.72, 2 Fe 2.84, 2 As 2.90
Ir  0.5000  0.5000  0.2395 [2 per cell]  4 Fe 2.65, 4 As 2.72, 4 Ir 2.72-2.96


No. 8
A relaxed CoSn2B2 crystal, computed with PBE.

The calculation puts the total energy at -23.3 eV/f.u. The value obtained for the total moment is 1.22 μB/f.u. For the distance to the lowest polymorph of the same formula, the calculation gives 213 meV per atom.

a = 7.0426 Å, b = 7.0426 Å, c = 3.8489 Å
α = 90.00°, β = 90.00°, γ = 90.00°
Closest atoms and distances in Å follow each position.
Space group P4/mbm (No. 127)
One atom of each set of equivalent atoms:
Co  0.0000  0.0000  0.0000 [2 per cell]  4 Sn 2.53
Sn  0.2073  0.2927  0.0000 [4 per cell]  2 B 2.31, 2 Co 2.53
B  0.0796  0.4204  0.5000 [4 per cell]  1 B 1.59


No. 9
A relaxed Tb2Er2TmMg2 crystal, computed with PBE.

The calculation puts the total energy at -26.1 eV/f.u. The value obtained for the total moment is 0.00 μB/f.u.

a = 5.4094 Å, b = 5.4094 Å, c = 23.8485 Å
α = 90.00°, β = 90.00°, γ = 120.00°
Closest atoms and distances in Å follow each position.
Space group R-3m (No. 166, hexagonal axes)
One atom of each set of equivalent atoms:
Tb  0.0000  0.0000  0.0738 [6 per cell]  4 Mg 3.28-3.33, 3 Er 3.44, 1 Tb 3.52
Er  0.0000  0.0000  0.3463 [6 per cell]  3 Er 3.18, 1 Mg 3.22, 3 Tb 3.44
Tm  0.0000  0.0000  0.5000 [3 per cell]  6 Mg 3.30, 2 Er 3.67
Mg  0.0000  0.0000  0.2114 [6 per cell]  1 Er 3.22, 4 Tb 3.28-3.33, 3 Tm 3.30


No. 10
A relaxed BaZrCo crystal, computed with PBE.

The calculation puts the total energy at -17.5 eV/f.u. The value obtained for the total moment is 0.00 μB/f.u. For the distance to the lowest polymorph of the same formula, the calculation gives 0 meV per atom.

a = 4.4459 Å, b = 4.4459 Å, c = 9.5860 Å
α = 90.00°, β = 90.00°, γ = 90.00°
Closest atoms and distances in Å follow each position.
Space group P4/nmm (No. 129, origin choice 2)
One atom of each set of equivalent atoms:
Ba  0.2500  0.2500  0.1898 [2 per cell]  4 Co 3.55, 4 Zr 3.71
Zr  0.2500  0.7500  0.5000 [2 per cell]  4 Co 2.59
Co  0.2500  0.2500  0.6378 [2 per cell]  4 Zr 2.59


No. 11
A relaxed InBSCl2 crystal, computed with PBE.

The uncorrected formation energy is 3.41 eV per formula unit. The calculation puts the total energy at -13.8 eV/f.u. The value obtained for the total moment is 0.00 μB/f.u. For the distance to the lowest polymorph of the same formula, the calculation gives 547 meV per atom.

a = 5.0061 Å, b = 5.0061 Å, c = 5.7504 Å
α = 90.00°, β = 90.00°, γ = 90.00°
Closest atoms and distances in Å follow each position.
Space group P4/mmm (No. 123)
One atom of each set of equivalent atoms:
In  0.0000  0.0000  0.0000 [1 per cell]  4 Cl 2.50
B  0.5000  0.5000  0.5000 [1 per cell]  4 S 3.54, 8 Cl 3.81
S  0.0000  0.0000  0.5000 [1 per cell]  2 In 2.88
Cl  0.0000  0.5000  0.0000 [2 per cell]  2 In 2.50


No. 12
A relaxed LiAg2P2 crystal, computed with PBE.

The calculation puts the total energy at -18.9 eV/f.u. The value obtained for the total moment is 0.00 μB/f.u. For the distance to the lowest polymorph of the same formula, the calculation gives 0 meV per atom.

a = 4.2390 Å, b = 4.2390 Å, c = 10.2821 Å
α = 90.00°, β = 90.00°, γ = 90.00°
Closest atoms and distances in Å follow each position.
Space group I4/mmm (No. 139)
One atom of each set of equivalent atoms:
Li  0.0000  0.0000  0.0000 [2 per cell]  8 P 3.18, 8 Ag 3.33
Ag  0.0000  0.5000  0.2500 [4 per cell]  4 P 2.60
P  0.0000  0.0000  0.3961 [4 per cell]  1 P 2.14